First-principles (GGA-PBE) data for an optimized crystal structure of TcGeSbI2, as listed in Alexandria.

Unit cell a=5.498 b=5.498 c=5.124 alpha=90.00 beta=90.00 gamma=90.00
Fractional positions:
1 Tc 0.000 0.000 0.000
2 Ge 0.500 0.500 0.500
3 Sb 0.000 0.000 0.500
4 I 0.000 0.500 0.000
5 I 0.500 0.000 0.000

Values from the calculation:
Fermi-level density of states (states/eV per cell): 6.6
Formation energy (no corrections) (meV per atom): 755
Theoretical density (Mg/m³): 5.86
Polymorph energy (0 for the lowest one) (meV/atom): 0
DFT total energy (eV/atom): -3.687